# 1
A relaxed structure of RbBeH. Source: Alexandria, functional PBE.

Summary:
space group: No. 74
crystal system: orthorhombic

Geometry as POSCAR:
```
RbBeH
1.0
3.419 0.000 0.000
0.000 5.557 0.000
0.000 0.000 12.898
Rb Be H
4 4 4
direct
0.500 0.250 0.901
0.500 0.750 0.099
0.000 0.750 0.401
0.000 0.250 0.599
0.000 0.750 0.804
0.500 0.750 0.696
0.000 0.250 0.196
0.500 0.250 0.304
0.500 0.750 0.584
0.000 0.250 0.084
0.500 0.250 0.416
0.000 0.750 0.916
```

=====

# 2
A relaxed structure of RbBe2H. Source: Alexandria, functional PBE.

Summary:
space group: No. 1
crystal system: triclinic

Geometry as POSCAR:
```
RbBe2H
1.0
4.300 0.000 -0.003
2.150 3.725 -0.005
2.069 0.984 10.868
Be Rb H
4 2 2
direct
0.859 0.228 0.615
0.859 0.720 0.615
0.367 0.720 0.615
0.339 0.206 0.680
0.592 0.478 0.911
0.451 0.289 0.360
0.292 0.170 0.815
0.729 0.581 0.517
```

=====

# 3
A relaxed structure of RbBe2H. Source: Alexandria, functional PBE.

Summary:
space group: No. 2
crystal system: triclinic

Geometry as POSCAR:
```
RbBe2H
1.0
3.759 0.000 -0.001
-1.880 3.256 0.001
-0.408 -0.942 12.217
Be Rb H
4 2 2
direct
0.667 0.834 0.002
0.333 0.166 0.998
0.022 0.524 0.083
0.978 0.476 0.917
0.591 0.747 0.702
0.409 0.253 0.298
0.051 0.558 0.199
0.949 0.442 0.801
```

=====

# 4
A relaxed structure of RbBe2H. Source: Alexandria, functional PBE.

Summary:
space group: No. 1
crystal system: triclinic

Geometry as POSCAR:
```
RbBe2H
1.0
-3.537 0.088 -2.416
2.916 -3.084 -0.584
-3.263 -4.621 8.349
H Be Rb
2 4 2
direct
0.495 0.605 0.480
0.092 0.406 0.876
0.989 0.107 0.973
0.488 0.605 0.973
0.989 0.605 0.973
0.507 0.115 0.000
0.282 0.000 0.663
0.038 0.875 0.291
```

=====

| no. | volume (Å³ per cell) | ΔE to the lowest computed polymorph (eV/atom) | DFT total energy (eV/atom) |
| --- | --- | --- | --- |
| 1 | 245.0 | 0.093 | -2.455 |
| 2 | 174.1 | 0.020 | -2.806 |
| 3 | 149.5 | 0.028 | -2.798 |
| 4 | 155.5 | 0.011 | -2.814 |